[1]
The following is a DFT calculation (PBE-GGA) of a relaxed structure of La9Dy4Tm.

Values from the calculation:
**Energy of formation**: 0.145 eV/atom
**Raw total energy**: -4.66 eV/atom

a = 11.5277 Å, b = 10.0438 Å, c = 10.0438 Å
α = 120.00°, β = 90.00°, γ = 90.00°
Last column: nearest neighbours and their distance in Å.
Sites, in units of the cell vectors:
1 La 0.0292 0.4149 0.2074  1 Tm 3.36, 2 Dy 3.62-3.64, 2 La 3.67
2 La 0.5292 0.5851 0.7926  1 Tm 3.36, 2 Dy 3.62-3.64, 2 La 3.67
3 La 0.9708 0.2074 0.7926  1 Tm 3.36, 2 Dy 3.62-3.64, 2 La 3.67
4 La 0.0292 0.7926 0.5851  1 Tm 3.36, 2 Dy 3.62-3.64, 2 La 3.67
5 La 0.4708 0.7926 0.5851  1 Tm 3.36, 2 Dy 3.62-3.64, 2 La 3.67
6 Dy 0.0000 0.0000 0.0000  6 Dy 3.46, 6 La 3.62
7 La 0.4708 0.7926 0.2074  1 Tm 3.36, 2 Dy 3.62-3.64, 2 La 3.67
8 Dy 0.7500 0.8902 0.1098  4 Dy 3.31-3.46, 4 La 3.38-3.64
9 Tm 0.2500 0.6667 0.3333  9 La 3.36-3.57
10 Dy 0.7500 0.2195 0.1098  4 Dy 3.31-3.46, 4 La 3.38-3.64
11 La 0.5292 0.2074 0.4149  1 Tm 3.36, 2 Dy 3.62-3.64, 2 La 3.67
12 Dy 0.2500 0.1098 0.8902  4 Dy 3.31-3.46, 4 La 3.38-3.64
13 Dy 0.5000 0.0000 0.0000  6 Dy 3.46, 6 La 3.62
14 La 0.0292 0.7926 0.2074  1 Tm 3.36, 2 Dy 3.62-3.64, 2 La 3.67
15 La 0.2500 0.4612 0.9223  2 Dy 3.38, 1 Tm 3.57
16 La 0.9708 0.2074 0.4149  1 Tm 3.36, 2 Dy 3.62-3.64, 2 La 3.67
17 La 0.5292 0.2074 0.7926  1 Tm 3.36, 2 Dy 3.62-3.64, 2 La 3.67
18 Dy 0.2500 0.1098 0.2195  4 Dy 3.31-3.46, 4 La 3.38-3.64
19 La 0.9708 0.5851 0.7926  1 Tm 3.36, 2 Dy 3.62-3.64, 2 La 3.67
20 Tm 0.7500 0.3333 0.6667  9 La 3.36-3.57
21 La 0.7500 0.5388 0.4612  2 Dy 3.38, 1 Tm 3.57
22 La 0.7500 0.9223 0.4612  2 Dy 3.38, 1 Tm 3.57
23 La 0.2500 0.0777 0.5388  2 Dy 3.38, 1 Tm 3.57
24 Dy 0.7500 0.8902 0.7805  4 Dy 3.31-3.46, 4 La 3.38-3.64
25 Dy 0.2500 0.7805 0.8902  4 Dy 3.31-3.46, 4 La 3.38-3.64
26 La 0.7500 0.5388 0.0777  2 Dy 3.38, 1 Tm 3.57
27 La 0.2500 0.4612 0.5388  2 Dy 3.38, 1 Tm 3.57
28 La 0.4708 0.4149 0.2074  1 Tm 3.36, 2 Dy 3.62-3.64, 2 La 3.67


[2]
The following is a DFT calculation (PBE-GGA) of a relaxed structure of La3Dy4Tm4.

Values from the calculation:
**Energy of formation**: 0.031 eV/atom
**Raw total energy**: -4.61 eV/atom

a = 3.5952 Å, b = 5.0370 Å, c = 19.9400 Å
α = 97.24°, β = 95.16°, γ = 90.02°
Last column: nearest neighbours and their distance in Å.
Sites, in units of the cell vectors:
1 Dy 0.1837 0.1837 0.3680  6 Tm 3.47-3.67, 2 Dy 3.60, 4 La 3.60
2 Dy 0.8162 0.8164 0.6320  6 Tm 3.47-3.68, 2 Dy 3.60, 4 La 3.60
3 La 0.0000 0.0000 0.0000  2 Tm 3.57, 2 La 3.60, 8 Dy 3.60
4 La 0.3627 0.3630 0.7251  5 Tm 3.56-3.60, 5 Dy 3.58-3.60, 2 La 3.60
5 Tm 0.2721 0.2722 0.5441  5 Dy 3.47-3.55, 6 Tm 3.55-3.60, 1 La 3.56
6 Tm 0.7278 0.7278 0.4559  5 Dy 3.47-3.55, 6 Tm 3.55-3.60, 1 La 3.56
7 Tm 0.0908 0.0903 0.1814  5 Dy 3.55-3.67, 5 La 3.57-3.60, 2 Tm 3.60
8 Dy 0.4531 0.4537 0.9067  4 Tm 3.55, 5 La 3.58-3.60, 3 Dy 3.60-3.67
9 Dy 0.5469 0.5463 0.0933  4 Tm 3.55, 5 La 3.58-3.60, 3 Dy 3.60-3.67
10 Tm 0.9092 0.9097 0.8186  5 Dy 3.55-3.68, 5 La 3.57-3.60, 2 Tm 3.60
11 La 0.6373 0.6370 0.2749  5 Tm 3.56-3.60, 5 Dy 3.58-3.60, 2 La 3.60


[3]
The following is a DFT calculation (PBE-GGA) of a relaxed structure of La4Dy4Tm.

Values from the calculation:
**Energy of formation**: 0.028 eV/atom
**Raw total energy**: -4.70 eV/atom

a = 5.1381 Å, b = 8.0985 Å, c = 8.0985 Å
α = 84.22°, β = 71.50°, γ = 71.50°
Last column: nearest neighbours and their distance in Å.
Sites, in units of the cell vectors:
1 La 0.6668 0.6664 0.0000  6 Dy 3.62-3.64, 4 La 3.62, 2 Tm 3.63
2 Tm 0.0000 0.0000 0.0000  8 La 3.63, 4 Dy 3.65
3 La 0.6668 0.0000 0.6664  6 Dy 3.62-3.64, 4 La 3.62, 2 Tm 3.63
4 La 0.3332 0.3336 0.0000  6 Dy 3.62-3.64, 4 La 3.62, 2 Tm 3.63
5 Dy 0.0000 0.3356 0.6643  5 Dy 3.57-3.60, 6 La 3.62-3.64, 1 Tm 3.65
6 La 0.3332 0.0000 0.3336  6 Dy 3.62-3.64, 4 La 3.62, 2 Tm 3.63
7 Dy 0.6644 0.3357 0.3356  5 Dy 3.57-3.60, 6 La 3.62-3.64, 1 Tm 3.65
8 Dy 0.3356 0.6643 0.6644  5 Dy 3.57-3.60, 6 La 3.62-3.64, 1 Tm 3.65
9 Dy 0.0000 0.6644 0.3357  5 Dy 3.57-3.60, 6 La 3.62-3.64, 1 Tm 3.65


[4]
The following is a DFT calculation (PBE-GGA) of a relaxed structure of LaDy7Tm3.

Values from the calculation:
**Energy of formation**: 0.142 eV/atom
**Raw total energy**: -4.45 eV/atom

a = 5.5453 Å, b = 9.8194 Å, c = 8.8737 Å
α = 104.68°, β = 128.68°, γ = 90.00°
Last column: nearest neighbours and their distance in Å.
Sites, in units of the cell vectors:
1 Dy 0.1469 0.2893 0.6465  2 Tm 3.29-3.32, 3 Dy 3.29-3.57
2 Tm 0.7250 0.0052 0.2251  1 Tm 3.09, 4 Dy 3.29-3.37
3 Dy 0.0709 0.1672 0.0712  3 Dy 3.11-3.29, 1 Tm 3.46
4 Dy 0.6703 0.3567 0.1704  5 Dy 3.28-3.57, 3 Tm 3.48-3.59, 2 La 3.58
5 Dy 0.5000 0.0000 0.5000  4 Tm 3.37, 2 Dy 3.76
6 Tm 0.0000 0.5000 0.0000  10 Dy 3.46-3.83, 2 La 3.46
7 La 0.5000 0.5000 0.5000  2 Tm 3.46, 10 Dy 3.58-3.79
8 Tm 0.2750 0.9948 0.7749  1 Tm 3.09, 4 Dy 3.29-3.37
9 Dy 0.9291 0.8328 0.9288  3 Dy 3.11-3.29, 1 Tm 3.46
10 Dy 0.8531 0.7107 0.3535  2 Tm 3.29-3.32, 3 Dy 3.29-3.57
11 Dy 0.3297 0.6433 0.8296  5 Dy 3.28-3.57, 3 Tm 3.48-3.59, 2 La 3.58


[5]
The following is a DFT calculation (PBE-GGA) of a relaxed structure of La5Dy4Tm.

Values from the calculation:
**Energy of formation**: 0.082 eV/atom
**Raw total energy**: -4.67 eV/atom

a = 3.5584 Å, b = 11.4043 Å, c = 9.0352 Å
α = 110.32°, β = 89.90°, γ = 90.16°
Last column: nearest neighbours and their distance in Å.
Sites, in units of the cell vectors:
1 La 0.0010 0.1753 0.7890  3 La 3.48-3.56, 5 Dy 3.51-3.68, 2 Tm 3.66-3.67
2 Dy 0.5020 0.1179 0.4138  1 Tm 3.51, 5 Dy 3.53-3.56, 6 La 3.65-3.68
3 La 0.9950 0.5920 0.3780  4 Dy 3.38-3.65, 6 La 3.48-3.67
4 Dy 0.4980 0.8821 0.5862  1 Tm 3.51, 5 Dy 3.53-3.56, 6 La 3.65-3.68
5 Tm 0.5000 0.0000 0.0000  6 Dy 3.51-3.54, 2 Tm 3.56, 4 La 3.66-3.67
6 Dy 0.9976 0.7224 0.7965  3 La 3.38-3.55, 4 Dy 3.53-3.56, 2 Tm 3.54
7 La 0.5000 0.5000 0.0000  10 La 3.56-3.96
8 La 0.9990 0.8247 0.2110  3 La 3.48-3.56, 5 Dy 3.51-3.68, 2 Tm 3.66-3.67
9 Dy 0.0024 0.2776 0.2035  3 La 3.38-3.55, 4 Dy 3.53-3.56, 2 Tm 3.54
10 La 0.0050 0.4080 0.6220  4 Dy 3.38-3.65, 6 La 3.48-3.67


[6]
The following is a DFT calculation (PBE-GGA) of a relaxed structure of La4DyTm4.

Values from the calculation:
**Energy of formation**: 0.036 eV/atom
**Raw total energy**: -4.65 eV/atom

a = 5.1375 Å, b = 8.0656 Å, c = 8.0656 Å
α = 84.18°, β = 71.43°, γ = 71.43°
Last column: nearest neighbours and their distance in Å.
Sites, in units of the cell vectors:
1 Tm 0.3360 0.0000 0.3279  4 Tm 3.55-3.68, 2 Dy 3.59, 6 La 3.60-3.63
2 Dy 0.0000 0.0000 0.0000  4 La 3.57, 8 Tm 3.59
3 Tm 0.6639 0.6721 0.0000  4 Tm 3.55-3.68, 2 Dy 3.59, 6 La 3.60-3.63
4 La 0.0000 0.3302 0.6698  1 Dy 3.57, 6 Tm 3.60-3.63, 5 La 3.65-3.67
5 La 0.0000 0.6698 0.3302  1 Dy 3.57, 6 Tm 3.60-3.63, 5 La 3.65-3.67
6 La 0.3302 0.6698 0.6698  1 Dy 3.57, 6 Tm 3.60-3.63, 5 La 3.65-3.67
7 Tm 0.6640 0.0000 0.6721  4 Tm 3.55-3.68, 2 Dy 3.59, 6 La 3.60-3.63
8 Tm 0.3361 0.3279 0.0000  4 Tm 3.55-3.68, 2 Dy 3.59, 6 La 3.60-3.63
9 La 0.6698 0.3302 0.3302  1 Dy 3.57, 6 Tm 3.60-3.63, 5 La 3.65-3.67


[7]
The following is a DFT calculation (PBE-GGA) of a relaxed structure of La5Dy3Tm.

Values from the calculation:
**Energy of formation**: 0.150 eV/atom
**Raw total energy**: -4.62 eV/atom

a = 8.8288 Å, b = 10.1221 Å, c = 12.7855 Å
α = 135.26°, β = 90.00°, γ = 115.86°
Last column: nearest neighbours and their distance in Å.
Sites, in units of the cell vectors:
1 Tm 0.8834 0.0000 0.7500  4 Dy 3.36-3.42, 5 La 3.52-3.65
2 La 0.5351 0.4651 0.8145  5 Dy 3.43-3.79, 4 La 3.49-3.62
3 La 0.0700 0.5349 0.6855  5 Dy 3.43-3.79, 4 La 3.49-3.62
4 La 0.7096 0.0000 0.2500  6 La 3.49-3.62, 1 Tm 3.59
5 Dy 0.4390 0.1440 0.1365  2 Dy 3.18-3.41, 1 Tm 3.42, 3 La 3.43-3.46
6 Dy 0.7050 0.1440 0.6365  2 Dy 3.18-3.41, 1 Tm 3.42, 3 La 3.43-3.46
7 Dy 0.0000 0.0000 0.5000  2 Tm 3.36, 2 Dy 3.41
8 Tm 0.1166 0.0000 0.2500  4 Dy 3.36-3.42, 5 La 3.52-3.65
9 La 0.9300 0.4651 0.3145  5 Dy 3.43-3.79, 4 La 3.49-3.62
10 La 0.7862 0.4228 0.0318  4 Dy 3.46-3.77, 4 La 3.49-3.74, 2 Tm 3.52-3.65
11 La 0.3634 0.5772 0.4682  4 Dy 3.46-3.77, 4 La 3.49-3.74, 2 Tm 3.52-3.65
12 La 0.2904 0.0000 0.7500  6 La 3.49-3.62, 1 Tm 3.59
13 Dy 0.2950 0.8560 0.3635  2 Dy 3.18-3.41, 1 Tm 3.42, 3 La 3.43-3.46
14 La 0.6366 0.4228 0.5318  4 Dy 3.46-3.77, 4 La 3.49-3.74, 2 Tm 3.52-3.65
15 Dy 0.5610 0.8560 0.8635  2 Dy 3.18-3.41, 1 Tm 3.42, 3 La 3.43-3.46
16 La 0.2138 0.5772 0.9682  4 Dy 3.46-3.77, 4 La 3.49-3.74, 2 Tm 3.52-3.65
17 La 0.4649 0.5349 0.1855  5 Dy 3.43-3.79, 4 La 3.49-3.62
18 Dy 0.0000 0.0000 0.0000  2 Tm 3.36, 2 Dy 3.41


[8]
The following is a DFT calculation (PBE-GGA) of a relaxed structure of La3Dy6Tm.

Values from the calculation:
**Energy of formation**: 0.278 eV/atom
**Raw total energy**: -4.41 eV/atom

a = 9.9227 Å, b = 9.9227 Å, c = 6.9277 Å
α = 44.26°, β = 44.26°, γ = 60.00°
Last column: nearest neighbours and their distance in Å.
Sites, in units of the cell vectors:
1 La 0.5975 0.5975 0.2075  1 La 2.89, 1 Tm 2.95, 3 Dy 3.24
2 La 0.3499 0.3499 0.9502  2 La 2.89
3 La 0.1026 0.1026 0.6922  1 La 2.89, 1 Tm 2.95, 3 Dy 3.24
4 Dy 0.9236 0.6056 0.1991  2 La 3.24-3.52, 1 Tm 3.45
5 Dy 0.7762 0.0943 0.7011  2 La 3.24-3.52, 1 Tm 3.45
6 Dy 0.6056 0.2716 0.1991  2 La 3.24-3.52, 1 Tm 3.45
7 Dy 0.4284 0.7762 0.7011  2 La 3.24-3.52, 1 Tm 3.45
8 Tm 0.8502 0.8502 0.4495  2 La 2.95
9 Dy 0.2716 0.9236 0.1991  2 La 3.24-3.52, 1 Tm 3.45
10 Dy 0.0943 0.4284 0.7011  2 La 3.24-3.52, 1 Tm 3.45


[9]
The following is a DFT calculation (PBE-GGA) of a relaxed structure of La2Dy5Tm2.

Values from the calculation:
**Energy of formation**: 0.211 eV/atom
**Raw total energy**: -4.43 eV/atom

a = 11.8824 Å, b = 6.7294 Å, c = 10.1127 Å
α = 109.43°, β = 125.98°, γ = 90.00°
Last column: nearest neighbours and their distance in Å.
Sites, in units of the cell vectors:
1 La 0.6245 0.1896 0.2533  4 Dy 3.37-3.58, 2 Tm 3.60-3.62, 1 La 3.68
2 Dy 0.3759 0.0262 0.2865  4 Dy 3.17-3.39, 2 La 3.39-3.49, 1 Tm 3.43
3 Dy 0.0084 0.6621 0.5000  6 Dy 3.26-3.54, 2 Tm 3.43-3.63, 2 La 3.58
4 La 0.1288 0.6896 0.2533  4 Dy 3.37-3.58, 2 Tm 3.60-3.62, 1 La 3.68
5 Dy 0.2010 0.6514 0.8947  5 Dy 3.17-3.54, 1 Tm 3.27, 1 La 3.37
6 Dy 0.5893 0.2396 0.7135  4 Dy 3.17-3.39, 2 La 3.39-3.49, 1 Tm 3.43
7 Dy 0.6241 0.7396 0.7135  4 Dy 3.17-3.39, 2 La 3.39-3.49, 1 Tm 3.43
8 Tm 0.2592 0.3528 0.5000  4 Dy 3.43-3.63, 2 La 3.60, 2 Tm 3.77
9 Dy 0.9916 0.1621 0.5000  6 Dy 3.26-3.54, 2 Tm 3.43-3.63, 2 La 3.58
10 Tm 0.5000 0.5214 0.0000  4 Dy 3.27-3.62, 2 La 3.62
11 La 0.3754 0.9363 0.7467  4 Dy 3.37-3.58, 2 Tm 3.60-3.62, 1 La 3.68
12 Tm 0.7408 0.8528 0.5000  4 Dy 3.43-3.63, 2 La 3.60, 2 Tm 3.77
13 Dy 0.7990 0.7567 0.1053  5 Dy 3.17-3.54, 1 Tm 3.27, 1 La 3.37
14 Dy 0.1937 0.1514 0.8947  5 Dy 3.17-3.54, 1 Tm 3.27, 1 La 3.37
15 Dy 0.4107 0.5262 0.2865  4 Dy 3.17-3.39, 2 La 3.39-3.49, 1 Tm 3.43
16 Tm 0.0000 0.0214 0.0000  4 Dy 3.27-3.62, 2 La 3.62
17 La 0.8712 0.4363 0.7467  4 Dy 3.37-3.58, 2 Tm 3.60-3.62, 1 La 3.68
18 Dy 0.8064 0.2567 0.1053  5 Dy 3.17-3.54, 1 Tm 3.27, 1 La 3.37


[10]
The following is a DFT calculation (PBE-GGA) of a relaxed structure of LaDy7Tm2.

Values from the calculation:
**Energy of formation**: 0.689 eV/atom
**Raw total energy**: -3.92 eV/atom

a = 5.6703 Å, b = 9.0852 Å, c = 9.0853 Å
α = 122.30°, β = 90.00°, γ = 90.00°
Last column: nearest neighbours and their distance in Å.
Sites, in units of the cell vectors:
1 Tm 0.5000 0.7033 0.2967  7 Dy 3.07-3.25
2 La 0.0000 0.0000 0.0000  10 Dy 3.55-3.74
3 Dy 0.5000 0.5000 0.5000  2 Tm 3.24, 4 Dy 3.39
4 Dy 0.0000 0.2231 0.7769  2 Tm 3.07
5 Dy 0.5000 0.9404 0.7050  2 Dy 3.11-3.39, 2 Tm 3.14-3.25
6 Dy 0.5000 0.7050 0.9404  2 Dy 3.11-3.39, 2 Tm 3.14-3.25
7 Tm 0.5000 0.2967 0.7033  7 Dy 3.07-3.25
8 Dy 0.5000 0.0596 0.2950  2 Dy 3.11-3.39, 2 Tm 3.14-3.25
9 Dy 0.0000 0.7769 0.2231  2 Tm 3.07
10 Dy 0.5000 0.2950 0.0596  2 Dy 3.11-3.39, 2 Tm 3.14-3.25


[11]
The following is a DFT calculation (PBE-GGA) of a relaxed structure of La2DyTm7.

Values from the calculation:
**Energy of formation**: 0.034 eV/atom
**Raw total energy**: -4.54 eV/atom

a = 6.1263 Å, b = 10.5778 Å, c = 7.9652 Å
α = 107.52°, β = 105.16°, γ = 39.96°
Last column: nearest neighbours and their distance in Å.
Sites, in units of the cell vectors:
1 Tm 0.2026 0.3986 0.1954  9 Tm 3.49-3.59, 1 Dy 3.54, 2 La 3.57-3.59
2 La 0.4037 0.7966 0.3976  10 Tm 3.52-3.59, 1 Dy 3.55, 1 La 3.61
3 La 0.5963 0.2034 0.6024  10 Tm 3.52-3.59, 1 Dy 3.55, 1 La 3.61
4 Tm 0.5000 0.5000 0.0000  8 Tm 3.52-3.54, 2 La 3.52, 2 Dy 3.54
5 Tm 0.8975 0.2999 0.3966  4 La 3.52-3.56, 1 Dy 3.52, 7 Tm 3.52-3.61
6 Dy 0.0000 0.0000 0.0000  10 Tm 3.52-3.54, 2 La 3.55
7 Tm 0.1025 0.7001 0.6034  4 La 3.52-3.56, 1 Dy 3.52, 7 Tm 3.52-3.61
8 Tm 0.2979 0.1011 0.8038  7 Tm 3.49-3.61, 2 Dy 3.52-3.54, 3 La 3.54-3.59
9 Tm 0.7021 0.8989 0.1962  7 Tm 3.49-3.61, 2 Dy 3.52-3.54, 3 La 3.54-3.59
10 Tm 0.7974 0.6014 0.8046  9 Tm 3.49-3.59, 1 Dy 3.54, 2 La 3.57-3.59


[12]
The following is a DFT calculation (PBE-GGA) of a relaxed structure of La2Dy2Tm5.

Values from the calculation:
**Energy of formation**: 0.211 eV/atom
**Raw total energy**: -4.39 eV/atom

a = 11.8144 Å, b = 6.7121 Å, c = 10.0795 Å
α = 109.45°, β = 125.88°, γ = 90.00°
Last column: nearest neighbours and their distance in Å.
Sites, in units of the cell vectors:
1 Tm 0.1913 0.1501 0.8937  5 Tm 3.17-3.52, 1 Dy 3.24, 1 La 3.35
2 Dy 0.7391 0.8569 0.5000  4 Tm 3.41-3.65, 2 La 3.56, 2 Dy 3.77
3 Tm 0.3761 0.0278 0.2856  4 Tm 3.17-3.38, 2 La 3.37-3.52, 1 Dy 3.42
4 Tm 0.8087 0.2564 0.1063  5 Tm 3.17-3.52, 1 Dy 3.24, 1 La 3.35
5 La 0.6272 0.1886 0.2545  4 Tm 3.35-3.56, 2 Dy 3.56-3.60, 1 La 3.66
6 Tm 0.7975 0.7564 0.1063  5 Tm 3.17-3.52, 1 Dy 3.24, 1 La 3.35
7 Tm 0.9941 0.1626 0.5000  6 Tm 3.25-3.52, 1 Dy 3.41, 2 La 3.56
8 Tm 0.0059 0.6626 0.5000  6 Tm 3.25-3.52, 1 Dy 3.41, 2 La 3.56
9 Dy 0.0000 0.0173 0.0000  4 Tm 3.24-3.59, 2 La 3.60
10 Tm 0.6239 0.7422 0.7144  4 Tm 3.17-3.38, 2 La 3.37-3.52, 1 Dy 3.42
11 Tm 0.2025 0.6501 0.8937  5 Tm 3.17-3.52, 1 Dy 3.24, 1 La 3.35
12 Dy 0.2609 0.3569 0.5000  4 Tm 3.41-3.65, 2 La 3.56, 2 Dy 3.77
13 La 0.1273 0.6886 0.2545  4 Tm 3.35-3.56, 2 Dy 3.56-3.60, 1 La 3.66
14 Tm 0.4095 0.5278 0.2856  4 Tm 3.17-3.38, 2 La 3.37-3.52, 1 Dy 3.42
15 Tm 0.5905 0.2422 0.7144  4 Tm 3.17-3.38, 2 La 3.37-3.52, 1 Dy 3.42
16 Dy 0.5000 0.5173 0.0000  4 Tm 3.24-3.59, 2 La 3.60
17 La 0.3728 0.9341 0.7455  4 Tm 3.35-3.56, 2 Dy 3.56-3.60, 1 La 3.66
18 La 0.8727 0.4341 0.7455  4 Tm 3.35-3.56, 2 Dy 3.56-3.60, 1 La 3.66